First-principles (PBE) data for RbSrSc2 after structural relaxation, as listed in Alexandria via LeMat-Bulk.

Cell and atoms, written as POSCAR:
```
RbSrSc2
1.0
0.000 4.263 4.263
4.263 0.000 4.263
4.263 4.263 0.000
Rb Sr Sc
1 1 2
Direct
0.000 0.000 0.000
0.500 0.500 0.500
0.250 0.250 0.250
0.750 0.750 0.750
```

Summary:
offset from the most stable computed form	77.3	meV/atom
final energy	-3.02	eV per atom
energy of formation from the pure elements	0.806	eV/atom
DOS(E_F)	1.459	states/eV/atom



First-principles (PBE) data for TbY2Al2Zn2 after structural relaxation, as listed in Alexandria via LeMat-Bulk.

Cell and atoms, written as POSCAR:
```
TbY2Al2Zn2
1.0
2.249 1.299 9.175
-2.249 1.299 9.175
0.000 -2.597 9.175
Tb Y Al Zn
1 2 2 2
Direct
0.000 0.000 0.000
0.127 0.127 0.127
0.873 0.873 0.873
0.264 0.264 0.264
0.736 0.736 0.736
0.397 0.397 0.397
0.603 0.603 0.603
```

Summary:
final energy	-4.27	eV per atom
energy of formation from the pure elements	-0.327	eV/atom
DOS(E_F)	0.515	states/eV/atom



First-principles (PBE) data for Sm2CuSn after structural relaxation, as listed in Alexandria via LeMat-Bulk.

Cell and atoms, written as POSCAR:
```
Sm2CuSn
1.0
3.546 0.000 0.000
0.000 3.546 0.000
0.000 0.000 7.962
Sm Cu Sn
2 1 1
Direct
0.000 0.000 0.227
0.000 0.000 0.773
0.500 0.500 0.000
0.500 0.500 0.500
```

Summary:
final energy	-4.80	eV per atom
energy of formation from the pure elements	-0.416	eV/atom
DOS(E_F)	0.670	states/eV/atom



First-principles (PBE) data for Ac2DySn3Pd4 after structural relaxation, as listed in Alexandria via LeMat-Bulk.

Cell and atoms, written as POSCAR:
```
Ac2DySn3Pd4
1.0
4.705 0.000 0.000
0.000 4.705 0.000
0.000 0.000 11.152
Ac Dy Sn Pd
2 1 3 4
Direct
0.000 0.500 0.229
0.500 0.000 0.771
0.000 0.000 0.500
0.000 0.500 0.879
0.500 0.000 0.121
0.500 0.500 0.500
0.000 0.000 0.000
0.000 0.500 0.641
0.500 0.000 0.359
0.500 0.500 0.000
```

Summary:
final energy	-5.41	eV per atom
energy of formation from the pure elements	-0.849	eV/atom
DOS(E_F)	0.655	states/eV/atom



First-principles (PBE) data for ZnIBrN2 after structural relaxation, as listed in Alexandria via LeMat-Bulk.

Cell and atoms, written as POSCAR:
```
ZnIBrN2
1.0
4.206 0.000 0.000
0.000 4.206 0.000
0.000 0.000 6.504
Zn I Br N
1 1 1 2
Direct
0.000 0.000 0.000
0.000 0.000 0.500
0.500 0.500 0.500
0.000 0.500 0.000
0.500 0.000 0.000
```

Summary:
offset from the most stable computed form	0.0	meV/atom
raw formation energy	1.508	eV/atom
final energy	-2.72	eV per atom
DOS(E_F)	0.408	states/eV/atom



First-principles (PBE) data for Er3Zn2Hg4 after structural relaxation, as listed in Alexandria via LeMat-Bulk.

Cell and atoms, written as POSCAR:
```
Er3Zn2Hg4
1.0
5.381 -2.385 0.000
5.381 2.385 0.000
-4.085 0.000 7.890
Er Zn Hg
3 2 4
Direct
0.000 0.000 0.000
0.337 0.337 0.332
0.663 0.663 0.668
0.389 0.389 0.716
0.611 0.611 0.284
0.070 0.070 0.393
0.293 0.293 0.945
0.707 0.707 0.055
0.930 0.930 0.607
```

Summary:
final energy	-2.33	eV per atom
energy of formation from the pure elements	-0.390	eV/atom
DOS(E_F)	0.509	states/eV/atom



First-principles (PBE) data for LaGdErTl after structural relaxation, as listed in Alexandria via LeMat-Bulk.

Cell and atoms, written as POSCAR:
```
LaGdErTl
1.0
0.000 3.938 3.938
3.938 0.000 3.938
3.938 3.938 0.000
La Gd Er Tl
1 1 1 1
Direct
0.000 0.000 0.000
0.500 0.500 0.500
0.250 0.250 0.250
0.750 0.750 0.750
```

Summary:
final energy	-6.58	eV per atom
energy of formation from the pure elements	-0.096	eV/atom
DOS(E_F)	1.182	states/eV/atom



First-principles (PBE) data for TmZnSn after structural relaxation, as listed in Alexandria via LeMat-Bulk.

Cell and atoms, written as POSCAR:
```
TmZnSn
1.0
-1.638 1.638 7.783
1.638 -1.638 7.783
1.638 1.638 -7.783
Tm Zn Sn
1 1 1
Direct
0.000 0.000 0.000
0.815 0.815 0.000
0.641 0.641 0.000
```

Summary:
final energy	-3.15	eV per atom
energy of formation from the pure elements	0.098	eV/atom
DOS(E_F)	1.151	states/eV/atom



First-principles (PBE) data for Rb6Au2BrO after structural relaxation, as listed in Alexandria via LeMat-Bulk.

Cell and atoms, written as POSCAR:
```
Rb6Au2BrO
1.0
4.045 2.336 16.523
-4.045 2.336 16.523
0.000 -4.671 16.523
Rb Au Br O
12 4 2 2
Direct
0.125 0.125 0.652
0.125 0.652 0.125
0.209 0.693 0.693
0.307 0.307 0.791
0.307 0.791 0.307
0.348 0.875 0.875
0.652 0.125 0.125
0.693 0.209 0.693
0.693 0.693 0.209
0.791 0.307 0.307
0.875 0.348 0.875
0.875 0.875 0.348
0.189 0.189 0.189
0.355 0.355 0.355
0.645 0.645 0.645
0.811 0.811 0.811
0.085 0.085 0.085
0.915 0.915 0.915
0.000 0.000 0.000
0.500 0.500 0.500
```

Summary:
raw formation energy	-0.711	eV/atom
final energy	-2.61	eV per atom
DOS(E_F)	0.511	states/eV/atom



First-principles (PBE) data for In2P6O19 after structural relaxation, as listed in Alexandria via LeMat-Bulk.

Cell and atoms, written as POSCAR:
```
In2P6O19
1.0
11.648 0.000 0.000
0.000 13.298 0.000
0.000 0.000 5.143
In P O
4 12 38
Direct
0.000 0.000 0.000
0.000 0.500 0.000
0.500 0.000 0.000
0.500 0.500 0.000
0.121 0.137 0.493
0.121 0.363 0.493
0.250 0.638 0.051
0.250 0.862 0.051
0.379 0.137 0.493
0.379 0.363 0.493
0.621 0.637 0.507
0.621 0.863 0.507
0.750 0.138 0.949
0.750 0.362 0.949
0.879 0.637 0.507
0.879 0.863 0.507
0.042 0.120 0.267
0.042 0.380 0.267
0.107 0.250 0.598
0.114 0.069 0.726
0.114 0.431 0.726
0.139 0.591 0.148
0.139 0.909 0.148
0.250 0.135 0.378
0.250 0.365 0.378
0.250 0.639 0.751
0.250 0.750 0.168
0.250 0.861 0.751
0.361 0.591 0.148
0.361 0.909 0.148
0.386 0.069 0.726
0.386 0.431 0.726
0.393 0.250 0.598
0.458 0.120 0.267
0.458 0.380 0.267
0.542 0.620 0.733
0.542 0.880 0.733
0.607 0.750 0.402
0.614 0.569 0.274
0.614 0.931 0.274
0.639 0.091 0.852
0.639 0.409 0.852
0.750 0.139 0.249
0.750 0.250 0.832
0.750 0.361 0.249
0.750 0.635 0.622
0.750 0.865 0.622
0.861 0.091 0.852
0.861 0.409 0.852
0.886 0.569 0.274
0.886 0.931 0.274
0.893 0.750 0.402
0.958 0.620 0.733
0.958 0.880 0.733
```

Summary:
raw formation energy	-1.902	eV/atom
final energy	-6.80	eV per atom
DOS(E_F)	0.012	states/eV/atom



First-principles (PBE) data for KTiBi2 after structural relaxation, as listed in Alexandria via LeMat-Bulk.

Cell and atoms, written as POSCAR:
```
KTiBi2
1.0
3.575 0.000 0.000
0.000 3.575 0.000
0.000 0.000 9.087
K Ti Bi
1 1 2
Direct
0.000 0.000 0.000
0.000 0.000 0.500
0.500 0.500 0.306
0.500 0.500 0.694
```

Summary:
offset from the most stable computed form	1.0	meV/atom
final energy	-4.36	eV per atom
energy of formation from the pure elements	-0.172	eV/atom
DOS(E_F)	1.006	states/eV/atom



First-principles (PBE) data for Li2CuSnS4 after structural relaxation, as listed in Alexandria via LeMat-Bulk.

Cell and atoms, written as POSCAR:
```
Li2CuSnS4
1.0
5.133 -5.031 0.000
5.133 5.031 0.000
-4.943 0.000 5.587
Li Cu Sn S
4 2 2 8
Direct
0.000 0.000 0.000
0.000 0.000 0.500
0.000 0.500 0.000
0.500 0.000 0.500
0.000 0.500 0.500
0.500 0.000 0.000
0.500 0.500 0.000
0.500 0.500 0.500
0.205 0.700 0.447
0.242 0.278 0.526
0.278 0.242 0.026
0.300 0.795 0.053
0.700 0.205 0.947
0.722 0.758 0.974
0.758 0.722 0.474
0.795 0.300 0.553
```

Summary:
raw formation energy	-0.626	eV/atom
final energy	-4.18	eV per atom
DOS(E_F)	0.422	states/eV/atom



First-principles (PBE) data for CdAgHg4 after structural relaxation, as listed in Alexandria via LeMat-Bulk.

Cell and atoms, written as POSCAR:
```
CdAgHg4
1.0
-3.477 3.477 6.091
3.477 -3.477 6.091
3.477 3.477 -6.091
Cd Ag Hg
2 2 8
Direct
0.000 0.000 0.000
0.500 0.500 0.000
0.250 0.250 0.000
0.750 0.750 0.000
0.022 0.522 0.808
0.215 0.022 0.500
0.285 0.785 0.808
0.478 0.285 0.500
0.522 0.715 0.500
0.715 0.215 0.192
0.785 0.978 0.500
0.978 0.478 0.192
```

Summary:
offset from the most stable computed form	0.0	meV/atom
final energy	-0.79	eV per atom
energy of formation from the pure elements	0.043	eV/atom
DOS(E_F)	0.177	states/eV/atom



First-principles (PBE) data for MnNi7Sb2Pt2 after structural relaxation, as listed in Alexandria via LeMat-Bulk.

Cell and atoms, written as POSCAR:
```
MnNi7Sb2Pt2
1.0
2.481 -2.481 0.000
2.481 2.481 0.000
-2.454 0.000 13.817
Mn Ni Sb Pt
1 7 2 2
Direct
0.000 0.000 0.000
0.063 0.563 0.129
0.270 0.270 0.539
0.437 0.937 0.871
0.500 0.500 0.000
0.563 0.063 0.129
0.730 0.730 0.461
0.937 0.437 0.871
0.178 0.178 0.361
0.822 0.822 0.639
0.368 0.368 0.733
0.632 0.632 0.267
```

Summary:
raw formation energy	-0.050	eV/atom
final energy	-5.88	eV per atom
DOS(E_F)	1.053	states/eV/atom



First-principles (PBE) data for TcMo2W after structural relaxation, as listed in Alexandria via LeMat-Bulk.

Cell and atoms, written as POSCAR:
```
TcMo2W
1.0
2.739 0.000 0.000
0.000 4.438 0.000
-0.909 0.000 5.144
Tc Mo W
1 2 1
Direct
0.000 0.000 0.000
0.267 0.500 0.744
0.504 0.000 0.499
0.751 0.500 0.244
```

Summary:
offset from the most stable computed form	26.0	meV/atom
final energy	-11.20	eV per atom
energy of formation from the pure elements	0.041	eV/atom
DOS(E_F)	0.889	states/eV/atom



First-principles (PBE) data for PmZrRh2 after structural relaxation, as listed in Alexandria via LeMat-Bulk.

Cell and atoms, written as POSCAR:
```
PmZrRh2
1.0
0.000 3.403 3.403
3.403 0.000 3.403
3.403 3.403 0.000
Pm Zr Rh
1 1 2
Direct
0.000 0.000 0.000
0.500 0.500 0.500
0.250 0.250 0.250
0.750 0.750 0.750
```

Summary:
offset from the most stable computed form	84.9	meV/atom
final energy	-7.65	eV per atom
energy of formation from the pure elements	-0.653	eV/atom
DOS(E_F)	0.762	states/eV/atom



First-principles (PBE) data for ScZn3Hg after structural relaxation, as listed in Alexandria via LeMat-Bulk.

Cell and atoms, written as POSCAR:
```
ScZn3Hg
1.0
2.131 -13.011 0.000
2.131 13.011 0.000
0.000 0.000 3.436
Sc Zn Hg
2 6 2
Direct
0.180 0.820 0.000
0.820 0.180 0.000
0.051 0.949 0.500
0.273 0.727 0.500
0.454 0.546 0.000
0.546 0.454 0.000
0.727 0.273 0.500
0.949 0.051 0.500
0.374 0.626 0.500
0.626 0.374 0.500
```

Summary:
offset from the most stable computed form	0.0	meV/atom
final energy	-2.18	eV per atom
energy of formation from the pure elements	-0.093	eV/atom
DOS(E_F)	0.552	states/eV/atom



First-principles (PBE) data for CdReP2 after structural relaxation, as listed in Alexandria via LeMat-Bulk.

Cell and atoms, written as POSCAR:
```
CdReP2
1.0
0.000 3.172 3.172
3.172 0.000 3.172
3.172 3.172 0.000
Cd Re P
1 1 2
Direct
0.000 0.000 0.000
0.250 0.250 0.250
0.500 0.500 0.500
0.750 0.750 0.750
```

Summary:
final energy	-5.03	eV per atom
energy of formation from the pure elements	1.021	eV/atom
DOS(E_F)	0.506	states/eV/atom



First-principles (PBE) data for Nd3I after structural relaxation, as listed in Alexandria via LeMat-Bulk.

Cell and atoms, written as POSCAR:
```
Nd3I
1.0
-2.456 2.456 5.419
2.456 -2.456 5.419
2.456 2.456 -5.419
Nd I
3 1
Direct
0.000 0.000 0.000
0.250 0.750 0.500
0.750 0.250 0.500
0.500 0.500 0.000
```

Summary:
offset from the most stable computed form	191.7	meV/atom
raw formation energy	-0.119	eV/atom
final energy	-4.08	eV per atom
DOS(E_F)	1.475	states/eV/atom



First-principles (PBE) data for NaAl2Pb after structural relaxation, as listed in Alexandria via LeMat-Bulk.

Cell and atoms, written as POSCAR:
```
NaAl2Pb
1.0
-4.253 4.253 2.891
4.253 -4.253 2.891
4.253 4.253 -2.891
Na Al Pb
2 4 2
Direct
0.000 0.000 0.000
0.750 0.250 0.500
0.164 0.625 0.039
0.375 0.414 0.539
0.586 0.125 0.961
0.875 0.836 0.461
0.250 0.750 0.500
0.500 0.500 0.000
```

Summary:
final energy	-2.80	eV per atom
energy of formation from the pure elements	0.330	eV/atom
DOS(E_F)	0.392	states/eV/atom